Material: SrCaCo3
Method: DFT, PBE
State: optimized geometry

## Properties
The calculation puts the energy of formation from the pure elements at 1.34 eV/atom. As for the final energy: -3.66 eV per atom. The value obtained for the polymorph energy (0 for the lowest one) is 0 meV per atom. The calculation puts the density of states at the Fermi level at 10.605 states/eV/f.u.

Structure (CIF):
```
data_SrCaCo3
_chemical_formula_sum 'Sr1 Ca1 Co3'
_cell_length_a 4.9030
_cell_length_b 4.9030
_cell_length_c 4.9030
_cell_angle_alpha 90.00
_cell_angle_beta 90.00
_cell_angle_gamma 90.00
_symmetry_space_group_name_H-M 'P m -3 m'
_symmetry_Int_Tables_number 221
_symmetry_space_group_name_Hall '-P 4 2 3'
loop_
_atom_site_label
_atom_site_fract_x
_atom_site_fract_y
_atom_site_fract_z
_atom_site_occupancy
Sr1 0.0000 0.0000 0.0000 1
Ca1 0.5000 0.5000 0.5000 1
Co1 0.0000 0.5000 0.5000 1
```